1.
# SrY2TiN4 PBE relaxed
data_SrY2TiN4
_symmetry_space_group_name_H-M 'C m c m'
_symmetry_Int_Tables_number 63
_symmetry_space_group_name_Hall '-C 2c 2'
_cell_length_a 3.481
_cell_length_b 12.008
_cell_length_c 11.939
_cell_angle_alpha 90.00
_cell_angle_beta 90.00
_cell_angle_gamma 90.00
loop_
_atom_site_label
_atom_site_type_symbol
_atom_site_fract_x
_atom_site_fract_y
_atom_site_fract_z
_atom_site_occupancy
Sr1 Sr 0.000 0.102 0.250 1
Y1 Y 0.000 0.371 0.038 1
Ti1 Ti 0.000 0.168 0.750 1
N1 N 0.000 0.000 0.000 1
N2 N 0.000 0.258 0.621 1
N3 N 0.000 0.416 0.250 1
# **Formation energy from raw total energies**: -1.456 eV/atom
# **Size of the total moment**: 0.000 μB per atom
# **E_tot**: -8.432 eV per atom

=====

2.
# Sr2TlN PBE relaxed
data_Sr2TlN
_symmetry_space_group_name_H-M 'R -3 m'
_symmetry_Int_Tables_number 166
_symmetry_space_group_name_Hall '-R 3 2"'
_cell_length_a 3.7905
_cell_length_b 3.7905
_cell_length_c 29.0677
_cell_angle_alpha 90.00
_cell_angle_beta 90.00
_cell_angle_gamma 120.00
loop_
_atom_site_label
_atom_site_type_symbol
_atom_site_fract_x
_atom_site_fract_y
_atom_site_fract_z
_atom_site_occupancy
Sr1 Sr 0.0000 0.0000 0.1192 1
Tl1 Tl 0.0000 0.0000 0.0000 1
N1 N 0.0000 0.0000 0.5000 1
# **Formation energy from raw total energies**: -0.409 eV/atom
# **Size of the total moment**: 0.000 μB per atom
# **E_tot**: -3.922 eV per atom

=====

3.
# Sr6Tl2N PBE relaxed
data_Sr6Tl2N
_symmetry_space_group_name_H-M 'A m m 2'
_symmetry_Int_Tables_number 38
_symmetry_space_group_name_Hall 'A 2 -2'
_cell_length_a 3.927
_cell_length_b 16.134
_cell_length_c 10.715
_cell_angle_alpha 90.00
_cell_angle_beta 90.00
_cell_angle_gamma 90.00
loop_
_atom_site_label
_atom_site_type_symbol
_atom_site_fract_x
_atom_site_fract_y
_atom_site_fract_z
_atom_site_occupancy
Sr1 Sr 0.000 0.000 0.000 1
Sr2 Sr 0.000 0.099 0.616 1
Sr3 Sr 0.500 0.000 0.336 1
Sr4 Sr 0.500 0.224 0.922 1
Tl1 Tl 0.000 0.176 0.195 1
N1 N 0.500 0.000 0.562 1
# **ΔE to the lowest computed polymorph**: 0.092 eV per atom
# **Formation energy from raw total energies**: -0.301 eV/atom
# **Size of the total moment**: 0.000 μB per atom
# **E_tot**: -2.874 eV per atom

=====

4.
# Sr2TlN PBE relaxed
data_Sr2TlN
_symmetry_space_group_name_H-M 'I -4 2 d'
_symmetry_Int_Tables_number 122
_symmetry_space_group_name_Hall 'I -4 2bw'
_cell_length_a 7.573
_cell_length_b 7.573
_cell_length_c 8.911
_cell_angle_alpha 90.00
_cell_angle_beta 90.00
_cell_angle_gamma 90.00
loop_
_atom_site_label
_atom_site_type_symbol
_atom_site_fract_x
_atom_site_fract_y
_atom_site_fract_z
_atom_site_occupancy
Sr1 Sr 0.139 0.250 0.125 1
Tl1 Tl 0.000 0.000 0.500 1
N1 N 0.000 0.000 0.000 1
# **Formation energy from raw total energies**: -0.249 eV/atom
# **Size of the total moment**: 0.000 μB per atom
# **E_tot**: -3.763 eV per atom

=====

5.
# Sr6TlN PBE relaxed
data_Sr6TlN
_symmetry_space_group_name_H-M 'C 1 2/m 1'
_symmetry_Int_Tables_number 12
_symmetry_space_group_name_Hall '-C 2y'
_cell_length_a 8.319
_cell_length_b 11.400
_cell_length_c 6.919
_cell_angle_alpha 90.00
_cell_angle_beta 103.56
_cell_angle_gamma 90.00
loop_
_atom_site_label
_atom_site_type_symbol
_atom_site_fract_x
_atom_site_fract_y
_atom_site_fract_z
_atom_site_occupancy
Sr1 Sr 0.128 0.161 0.259 1
Sr2 Sr 0.230 0.500 0.130 1
Tl1 Tl 0.000 0.500 0.500 1
N1 N 0.000 0.000 0.000 1
# **Formation energy from raw total energies**: -0.264 eV/atom
# **Size of the total moment**: 0.000 μB per atom
# **E_tot**: -2.862 eV per atom

=====

6.
# Sr3Tl2N PBE relaxed
data_Sr3Tl2N
_symmetry_space_group_name_H-M 'P 63/m m c'
_symmetry_Int_Tables_number 194
_symmetry_space_group_name_Hall '-P 6c 2c'
_cell_length_a 7.8666
_cell_length_b 7.8666
_cell_length_c 7.0859
_cell_angle_alpha 90.00
_cell_angle_beta 90.00
_cell_angle_gamma 120.00
loop_
_atom_site_label
_atom_site_type_symbol
_atom_site_fract_x
_atom_site_fract_y
_atom_site_fract_z
_atom_site_occupancy
Sr1 Sr 0.1420 0.2840 0.2500 1
Tl1 Tl 0.3333 0.6667 0.5524 1
N1 N 0.0000 0.0000 0.0000 1
# **Formation energy from raw total energies**: -0.413 eV/atom
# **Size of the total moment**: 0.000 μB per atom
# **E_tot**: -3.431 eV per atom

=====

7.
# SrTlN2 PBE relaxed
data_SrTlN2
_symmetry_space_group_name_H-M 'R -3 m'
_symmetry_Int_Tables_number 166
_symmetry_space_group_name_Hall '-R 3 2"'
_cell_length_a 4.0219
_cell_length_b 4.0219
_cell_length_c 19.6825
_cell_angle_alpha 90.00
_cell_angle_beta 90.00
_cell_angle_gamma 120.00
loop_
_atom_site_label
_atom_site_type_symbol
_atom_site_fract_x
_atom_site_fract_y
_atom_site_fract_z
_atom_site_occupancy
Sr1 Sr 0.0000 0.0000 0.0000 1
Tl1 Tl 0.0000 0.0000 0.5000 1
N1 N 0.0000 0.0000 0.3984 1
# **ΔE to the lowest computed polymorph**: 0.018 eV per atom
# **Formation energy from raw total energies**: 0.463 eV/atom
# **Size of the total moment**: 0.250 μB per atom
# **E_tot**: -4.712 eV per atom

=====

8.
# Sr2TlN PBE relaxed
data_Sr2TlN
_symmetry_space_group_name_H-M 'F m -3 m'
_symmetry_Int_Tables_number 225
_symmetry_space_group_name_Hall '-F 4 2 3'
_cell_length_a 7.569
_cell_length_b 7.569
_cell_length_c 7.569
_cell_angle_alpha 90.00
_cell_angle_beta 90.00
_cell_angle_gamma 90.00
loop_
_atom_site_label
_atom_site_type_symbol
_atom_site_fract_x
_atom_site_fract_y
_atom_site_fract_z
_atom_site_occupancy
Sr1 Sr 0.250 0.250 0.250 1
Tl1 Tl 0.000 0.000 0.000 1
N1 N 0.000 0.000 0.500 1
# **Formation energy from raw total energies**: 0.386 eV/atom
# **Size of the total moment**: 0.000 μB per atom
# **E_tot**: -3.128 eV per atom

=====

9.
# Sr3TlN PBE relaxed
data_Sr3TlN
_symmetry_space_group_name_H-M 'C 1 2/m 1'
_symmetry_Int_Tables_number 12
_symmetry_space_group_name_Hall '-C 2y'
_cell_length_a 12.549
_cell_length_b 7.267
_cell_length_c 7.812
_cell_angle_alpha 90.00
_cell_angle_beta 119.24
_cell_angle_gamma 90.00
loop_
_atom_site_label
_atom_site_type_symbol
_atom_site_fract_x
_atom_site_fract_y
_atom_site_fract_z
_atom_site_occupancy
Sr1 Sr 0.079 0.000 0.232 1
Sr2 Sr 0.173 0.253 0.767 1
Tl1 Tl 0.099 0.500 0.304 1
N1 N 0.168 0.000 0.001 1
# **Formation energy from raw total energies**: -0.358 eV/atom
# **Size of the total moment**: 0.000 μB per atom
# **E_tot**: -3.506 eV per atom

=====

10.
# Sr12Tl3N5 PBE relaxed
data_Sr12Tl3N5
_symmetry_space_group_name_H-M 'I a -3 d'
_symmetry_Int_Tables_number 230
_symmetry_space_group_name_Hall '-I 4bd 2c 3'
_cell_length_a 17.227
_cell_length_b 17.227
_cell_length_c 17.227
_cell_angle_alpha 90.00
_cell_angle_beta 90.00
_cell_angle_gamma 90.00
loop_
_atom_site_label
_atom_site_type_symbol
_atom_site_fract_x
_atom_site_fract_y
_atom_site_fract_z
_atom_site_occupancy
Sr1 Sr 0.038 0.046 0.647 1
Tl1 Tl 0.000 0.250 0.125 1
N1 N 0.000 0.000 0.000 1
N2 N 0.000 0.250 0.375 1
# **Formation energy from raw total energies**: -0.353 eV/atom
# **Size of the total moment**: 0.108 μB per atom
# **E_tot**: -3.798 eV per atom

=====

11.
# SrTlN2 PBE relaxed
data_SrTlN2
_symmetry_space_group_name_H-M 'I -4 2 d'
_symmetry_Int_Tables_number 122
_symmetry_space_group_name_Hall 'I -4 2bw'
_cell_length_a 6.272
_cell_length_b 6.272
_cell_length_c 7.561
_cell_angle_alpha 90.00
_cell_angle_beta 90.00
_cell_angle_gamma 90.00
loop_
_atom_site_label
_atom_site_type_symbol
_atom_site_fract_x
_atom_site_fract_y
_atom_site_fract_z
_atom_site_occupancy
Sr1 Sr 0.000 0.000 0.000 1
Tl1 Tl 0.000 0.000 0.500 1
N1 N 0.211 0.250 0.625 1
# **ΔE to the lowest computed polymorph**: 0.000 eV per atom
# **Formation energy from raw total energies**: 0.445 eV/atom
# **Size of the total moment**: 0.248 μB per atom
# **E_tot**: -4.730 eV per atom

=====

12.
# Sr6Tl2N PBE relaxed
data_Sr6Tl2N
_symmetry_space_group_name_H-M 'C 1 2/m 1'
_symmetry_Int_Tables_number 12
_symmetry_space_group_name_Hall '-C 2y'
_cell_length_a 13.263
_cell_length_b 7.659
_cell_length_c 7.659
_cell_angle_alpha 90.00
_cell_angle_beta 125.27
_cell_angle_gamma 90.00
loop_
_atom_site_label
_atom_site_type_symbol
_atom_site_fract_x
_atom_site_fract_y
_atom_site_fract_z
_atom_site_occupancy
Sr1 Sr 0.000 0.238 0.238 1
Sr2 Sr 0.238 0.000 0.237 1
Tl1 Tl 0.250 0.000 0.750 1
N1 N 0.000 0.000 0.000 1
# **ΔE to the lowest computed polymorph**: 0.000 eV per atom
# **Formation energy from raw total energies**: -0.393 eV/atom
# **Size of the total moment**: 0.185 μB per atom
# **E_tot**: -2.965 eV per atom